Crystalline Ac6Si2Hg at its relaxed geometry. Source: the Alexandria database, functional PBE.

The structure in POSCAR format:
```
Ac6Si2Hg
1.0
-5.3295 5.3886 5.5286
5.3295 -5.3886 5.5286
5.3295 5.3886 -5.5286
Ac Si Hg
12 4 2
Cartesian
5.3295 3.2094 -2.8284
2.8899 1.9017 0.0000
7.7692 1.9017 0.0000
2.1592 5.3886 -1.9565
3.1703 0.0000 3.5720
0.0000 2.1793 2.7002
5.3295 3.2094 2.8284
2.1592 5.3886 1.9565
3.1703 0.0000 7.4851
-2.4396 3.4869 5.5286
2.4396 3.4869 5.5286
0.0000 2.1793 8.3569
5.3295 0.0000 1.2073
0.0000 4.0386 0.0000
0.0000 6.7387 0.0000
0.0000 5.3886 4.3213
0.0000 0.0000 0.0000
0.0000 0.0000 5.5286
```

- Raw total energy: -4.3456 eV per atom
- Symmetry: No. 71
- Formation energy (no corrections): -35.51 kJ per mole of atoms
- Distance to the lowest polymorph of the same formula: 0.000 eV/atom

---

Crystalline Ac12Si7Hg at its relaxed geometry. Source: the Alexandria database, functional PBE.

The structure in POSCAR format:
```
Ac12Si7Hg
1.0
8.0158 4.6279 3.1718
-8.0158 4.6279 3.1718
0.0000 -9.2559 3.1718
Ac Si Hg
12 7 1
Cartesian
-1.7258 -1.7677 2.5999
-4.3381 1.1751 3.2688
1.1514 -4.3444 3.2688
-0.6680 2.3784 2.5999
-3.1867 -3.1694 6.2467
2.3937 -0.6107 2.5999
-2.3937 0.6107 6.9156
3.1867 3.1694 3.2688
0.6680 -2.3784 6.9156
-1.1514 4.3444 6.2467
4.3381 -1.1751 6.2467
1.7258 1.7677 6.9156
-7.2996 2.0837 3.8922
-5.4543 -5.2798 5.6233
1.8453 -7.3635 3.8922
0.0000 0.0000 4.7578
-1.8453 7.3635 5.6233
5.4543 5.2798 3.8922
7.2996 -2.0837 5.6233
0.0000 0.0000 0.0000
```

- Raw total energy: -4.6346 eV per atom
- Symmetry: No. 148
- Formation energy (no corrections): -24.74 kJ per mole of atoms

---

Crystalline Ac2Si2Hg at its relaxed geometry. Source: the Alexandria database, functional PBE.

The structure in POSCAR format:
```
Ac2Si2Hg
1.0
3.9974 0.0000 0.0000
0.0000 16.0961 0.0000
0.0000 0.0000 4.3806
Ac Si Hg
4 4 2
Cartesian
0.0000 2.1538 0.0000
0.0000 13.9423 0.0000
1.9987 5.8942 0.0000
1.9987 10.2019 0.0000
0.0000 4.6874 2.1903
0.0000 11.4087 2.1903
1.9987 3.3607 2.1903
1.9987 12.7354 2.1903
0.0000 8.0481 2.1903
1.9987 0.0000 2.1903
```

- Raw total energy: -4.4579 eV per atom
- Symmetry: No. 65
- Formation energy (no corrections): -56.44 kJ per mole of atoms
- Distance to the lowest polymorph of the same formula: 0.000 eV/atom

---

Crystalline Ac2Si2Hg3 at its relaxed geometry. Source: the Alexandria database, functional PBE.

The structure in POSCAR format:
```
Ac2Si2Hg3
1.0
11.6030 0.0000 0.0000
0.0000 4.6991 0.0000
-0.7826 0.0000 6.8828
Ac Si Hg
4 4 6
Cartesian
1.5943 0.0000 1.4066
3.4246 2.3495 5.4762
7.3958 2.3495 1.4066
9.2261 0.0000 5.4762
0.1005 2.3495 6.0961
4.9184 0.0000 0.7867
5.9020 0.0000 6.0961
10.7200 2.3495 0.7867
-0.3913 2.3495 3.4414
1.1969 0.0000 4.7478
3.8220 2.3495 2.1349
5.4102 0.0000 3.4414
6.9984 2.3495 4.7478
9.6236 0.0000 2.1349
```

- Raw total energy: -3.2632 eV per atom
- Symmetry: No. 12
- Formation energy (no corrections): -39.62 kJ per mole of atoms

---

Crystalline AcSmSiHg at its relaxed geometry. Source: the Alexandria database, functional PBE.

The structure in POSCAR format:
```
AcSmSiHg
1.0
7.6548 0.0000 0.0000
0.0000 7.6548 0.0000
0.0000 0.0000 7.6548
Ac Sm Si Hg
4 4 4 4
Cartesian
0.0000 0.0000 0.0000
0.0000 3.8274 3.8274
3.8274 0.0000 3.8274
3.8274 3.8274 0.0000
0.0000 0.0000 3.8274
0.0000 3.8274 0.0000
3.8274 0.0000 0.0000
3.8274 3.8274 3.8274
1.9137 1.9137 1.9137
1.9137 5.7411 5.7411
5.7411 1.9137 5.7411
5.7411 5.7411 1.9137
1.9137 1.9137 5.7411
1.9137 5.7411 1.9137
5.7411 1.9137 1.9137
5.7411 5.7411 5.7411
```

- Raw total energy: -4.0359 eV per atom
- Symmetry: No. 216
- Formation energy (no corrections): -38.38 kJ per mole of atoms

---

Crystalline AcTbSiHg at its relaxed geometry. Source: the Alexandria database, functional PBE.

The structure in POSCAR format:
```
AcTbSiHg
1.0
7.6028 0.0000 0.0000
0.0000 7.6028 0.0000
0.0000 0.0000 7.6028
Ac Tb Si Hg
4 4 4 4
Cartesian
0.0000 0.0000 0.0000
0.0000 3.8014 3.8014
3.8014 0.0000 3.8014
3.8014 3.8014 0.0000
0.0000 0.0000 3.8014
0.0000 3.8014 0.0000
3.8014 0.0000 0.0000
3.8014 3.8014 3.8014
1.9007 1.9007 1.9007
1.9007 5.7021 5.7021
5.7021 1.9007 5.7021
5.7021 5.7021 1.9007
1.9007 1.9007 5.7021
1.9007 5.7021 1.9007
5.7021 1.9007 1.9007
5.7021 5.7021 5.7021
```

- Raw total energy: -4.0007 eV per atom
- Symmetry: No. 216
- Formation energy (no corrections): -37.13 kJ per mole of atoms